DFT (PBE) results for a relaxed structure of Tb3Ce2Co2.

```
data_Tb3Ce2Co2
_chemical_formula_sum 'Tb6 Ce4 Co4'
_space_group_name_H-M_alt 'C 1 2/m 1'
_space_group_IT_number 12
_space_group_name_Hall '-C 2y'
_cell_length_a 11.831
_cell_length_b 3.577
_cell_length_c 8.855
_cell_angle_alpha 90.00
_cell_angle_beta 112.24
_cell_angle_gamma 90.00
loop_
_atom_site_label
_atom_site_fract_x
_atom_site_fract_y
_atom_site_fract_z
Tb1 0.000 0.000 0.000
Tb2 0.115 0.000 0.421
Ce1 0.183 0.500 0.820
Co1 0.192 0.500 0.236
```

=====

DFT (PBE) results for a relaxed structure of Tb2Ce3Co2.

```
data_Tb2Ce3Co2
_chemical_formula_sum 'Tb4 Ce6 Co4'
_space_group_name_H-M_alt 'C 1 2/m 1'
_space_group_IT_number 12
_space_group_name_Hall '-C 2y'
_cell_length_a 11.344
_cell_length_b 3.629
_cell_length_c 8.607
_cell_angle_alpha 90.00
_cell_angle_beta 110.80
_cell_angle_gamma 90.00
loop_
_atom_site_label
_atom_site_fract_x
_atom_site_fract_y
_atom_site_fract_z
Tb1 0.167 0.000 0.302
Ce1 0.000 0.500 0.500
Ce2 0.120 0.500 0.931
Co1 0.121 0.000 0.714
```

=====

DFT (PBE) results for a relaxed structure of Ce3CoTc.

```
data_Ce3CoTc
_chemical_formula_sum 'Ce6 Co2 Tc2'
_space_group_name_H-M_alt 'P 1 21/m 1'
_space_group_IT_number 11
_space_group_name_Hall '-P 2yb'
_cell_length_a 7.373
_cell_length_b 3.786
_cell_length_c 8.246
_cell_angle_alpha 90.00
_cell_angle_beta 102.27
_cell_angle_gamma 90.00
loop_
_atom_site_label
_atom_site_fract_x
_atom_site_fract_y
_atom_site_fract_z
Ce1 0.099 0.250 0.275
Ce2 0.299 0.250 0.962
Ce3 0.358 0.750 0.626
Co1 0.077 0.250 0.611
Tc1 0.383 0.750 0.233
```

=====

DFT (PBE) results for a relaxed structure of Ce6Co2Tc.

```
data_Ce6Co2Tc
_chemical_formula_sum 'Ce24 Co8 Tc4'
_space_group_name_H-M_alt 'I m m m'
_space_group_IT_number 71
_space_group_name_Hall '-I 2 2'
_cell_length_a 8.886
_cell_length_b 9.453
_cell_length_c 9.751
_cell_angle_alpha 90.00
_cell_angle_beta 90.00
_cell_angle_gamma 90.00
loop_
_atom_site_label
_atom_site_fract_x
_atom_site_fract_y
_atom_site_fract_z
Ce1 0.000 0.241 0.183
Ce2 0.193 0.150 0.500
Ce3 0.204 0.500 0.333
Co1 0.000 0.000 0.295
Co2 0.000 0.352 0.500
Tc1 0.000 0.000 0.000
Tc2 0.000 0.500 0.000
```

=====

DFT (PBE) results for a relaxed structure of Ce3CoTc.

```
data_Ce3CoTc
_chemical_formula_sum 'Ce6 Co2 Tc2'
_space_group_name_H-M_alt 'P 1 21/m 1'
_space_group_IT_number 11
_space_group_name_Hall '-P 2yb'
_cell_length_a 4.103
_cell_length_b 9.283
_cell_length_c 5.705
_cell_angle_alpha 90.00
_cell_angle_beta 90.46
_cell_angle_gamma 90.00
loop_
_atom_site_label
_atom_site_fract_x
_atom_site_fract_y
_atom_site_fract_z
Ce1 0.248 0.250 0.236
Ce2 0.251 0.057 0.753
Co1 0.251 0.750 0.007
Tc1 0.248 0.750 0.489
```

=====

DFT (PBE) results for a relaxed structure of Ce4CoTc.

```
data_Ce4CoTc
_chemical_formula_sum 'Ce16 Co4 Tc4'
_space_group_name_H-M_alt 'C m c 21'
_space_group_IT_number 36
_space_group_name_Hall 'C 2c -2'
_cell_length_a 4.636
_cell_length_b 18.995
_cell_length_c 6.361
_cell_angle_alpha 90.00
_cell_angle_beta 90.00
_cell_angle_gamma 90.00
loop_
_atom_site_label
_atom_site_fract_x
_atom_site_fract_y
_atom_site_fract_z
Ce1 0.000 0.068 0.000
Ce2 0.000 0.207 0.260
Ce3 0.000 0.208 0.735
Ce4 0.000 0.414 0.998
Co1 0.000 0.072 0.502
Tc1 0.000 0.351 0.500
```

=====

DFT (PBE) results for a relaxed structure of Ce12CoTc6.

```
data_Ce12CoTc6
_chemical_formula_sum 'Ce36 Co3 Tc18'
_space_group_name_H-M_alt 'R -3'
_space_group_IT_number 148
_space_group_name_Hall '-R 3'
_cell_length_a 12.2629
_cell_length_b 12.2629
_cell_length_c 11.5294
_cell_angle_alpha 90.00
_cell_angle_beta 90.00
_cell_angle_gamma 120.00
loop_
_atom_site_label
_atom_site_fract_x
_atom_site_fract_y
_atom_site_fract_z
Ce1 0.0119 0.1956 0.3890
Ce2 0.0234 0.1920 0.8736
Co1 0.0000 0.0000 0.0000
Tc1 0.0529 0.2591 0.6698
```

=====

DFT (PBE) results for a relaxed structure of Ce2Co3Tc.

```
data_Ce2Co3Tc
_chemical_formula_sum 'Ce4 Co6 Tc2'
_space_group_name_H-M_alt 'C 1 2/m 1'
_space_group_IT_number 12
_space_group_name_Hall '-C 2y'
_cell_length_a 8.705
_cell_length_b 5.195
_cell_length_c 5.049
_cell_angle_alpha 90.00
_cell_angle_beta 123.39
_cell_angle_gamma 90.00
loop_
_atom_site_label
_atom_site_fract_x
_atom_site_fract_y
_atom_site_fract_z
Ce1 0.126 0.000 0.375
Co1 0.000 0.500 0.500
Co2 0.250 0.250 0.000
Tc1 0.000 0.500 0.000
```

=====

no.,formation energy from the elements (eV/atom)
1,-0.1578
2,-0.1538
3,-0.0743
4,-0.0873
5,-0.1028
6,-0.0162
7,0.0200
8,-0.1751